Material: Ho6Sc12In
Method: DFT, PBE
State: optimized geometry

Structure (POSCAR):
```
Ho6Sc12In
1.0
5.830 3.366 4.342
-5.830 3.366 4.342
0.000 -6.732 4.342
Ho Sc In
6 12 1
direct
0.216 0.383 0.763
0.237 0.784 0.617
0.383 0.763 0.216
0.617 0.237 0.784
0.763 0.216 0.383
0.784 0.617 0.237
0.032 0.714 0.966
0.034 0.968 0.286
0.131 0.442 0.359
0.286 0.034 0.968
0.359 0.131 0.442
0.442 0.359 0.131
0.558 0.641 0.869
0.641 0.869 0.558
0.714 0.966 0.032
0.869 0.558 0.641
0.966 0.032 0.714
0.968 0.286 0.034
0.500 0.500 0.500
```

Output
As for the space-group type: R-3 (148).

Material: Ca2In2Bi
Method: DFT, PBE
State: optimized geometry

Structure (POSCAR):
```
Ca2In2Bi
1.0
8.627 0.000 0.000
0.000 8.627 0.000
0.000 0.000 4.267
Ca In Bi
4 4 2
direct
0.163 0.337 0.000
0.337 0.837 0.000
0.663 0.163 0.000
0.837 0.663 0.000
0.139 0.639 0.500
0.361 0.139 0.500
0.639 0.861 0.500
0.861 0.361 0.500
0.000 0.000 0.000
0.500 0.500 0.000
```

Output
As for the space-group type: P4/mbm (127). The distance to the lowest polymorph of the same formula is 0.92 eV per formula unit.

What formation energy from the elements values result from the calculations? In sequence: 0.10; -0.24 eV per atom.